[1]
Computed, not measured: a geometry-optimized GdPuGaRu structure at the GGA-PBE level of DFT.

The space group is F-43m (No. 216) and the conventional cell measures 6.9965, 6.9965 and 6.9965 Å, with angles of 90.00, 90.00 and 90.00 degrees. The distinct sites, in fractional coordinates, are Gd at (0.0000, 0.0000, 0.0000), Pu at (0.0000, 0.0000, 0.5000), Ga at (0.2500, 0.2500, 0.2500) and Ru at (0.2500, 0.2500, 0.7500).

Its final energy is -10.427 eV per atom. The calculation puts the energy relative to the elements at -1.0 eV per formula unit. The theoretical density is 11.09 Mg/m³.

***

[2]
Computed, not measured: a geometry-optimized TbGdPuGa structure at the GGA-PBE level of DFT.

The space group is F-43m (No. 216) and the conventional cell measures 7.4893, 7.4893 and 7.4893 Å, with angles of 90.00, 90.00 and 90.00 degrees. The distinct sites, in fractional coordinates, are Tb at (0.0000, 0.0000, 0.0000), Gd at (0.0000, 0.0000, 0.5000), Pu at (0.2500, 0.2500, 0.7500) and Ga at (0.2500, 0.2500, 0.2500).

Its final energy is -9.055 eV per atom. The calculation puts the energy relative to the elements at -0.1 eV per formula unit. The theoretical density is 9.96 Mg/m³.

***

[3]
Computed, not measured: a geometry-optimized GdPuTlGa structure at the GGA-PBE level of DFT.

The space group is F-43m (No. 216) and the conventional cell measures 7.4808, 7.4808 and 7.4808 Å, with angles of 90.00, 90.00 and 90.00 degrees. The distinct sites, in fractional coordinates, are Gd at (0.0000, 0.0000, 0.0000), Pu at (0.0000, 0.0000, 0.5000), Tl at (0.2500, 0.2500, 0.2500) and Ga at (0.2500, 0.2500, 0.7500).

Its final energy is -8.681 eV per atom. The calculation puts the energy relative to the elements at -0.9 eV per formula unit. The theoretical density is 10.71 Mg/m³.

***

[4]
Computed, not measured: a geometry-optimized GdGaRh2 structure at the GGA-PBE level of DFT.

The space group is P4/mmm (No. 123) and the conventional cell measures 4.3777, 4.3777 and 3.5707 Å, with angles of 90.00, 90.00 and 90.00 degrees. The distinct sites, in fractional coordinates, are Gd at (0.0000, 0.0000, 0.0000), Ga at (0.5000, 0.5000, 0.0000) and Rh at (0.0000, 0.5000, 0.5000).

Its final energy is -8.709 eV per atom. The calculation puts the energy relative to the elements at -3.0 eV per formula unit. The theoretical density is 10.50 Mg/m³.

***

[5]
Computed, not measured: a geometry-optimized GdGaRh2 structure at the GGA-PBE level of DFT.

The space group is P4/mmm (No. 123) and the conventional cell measures 3.2981, 3.2981 and 6.3514 Å, with angles of 90.00, 90.00 and 90.00 degrees. The distinct sites, in fractional coordinates, are Gd at (0.0000, 0.0000, 0.0000), Ga at (0.0000, 0.0000, 0.5000) and Rh at (0.5000, 0.5000, 0.2821).

Its final energy is -8.642 eV per atom. The calculation puts the energy relative to the elements at -2.8 eV per formula unit. The theoretical density is 10.40 Mg/m³.

***

[6]
Computed, not measured: a geometry-optimized GdGa2Rh structure at the GGA-PBE level of DFT.

The space group is P4/mmm (No. 123) and the conventional cell measures 3.2459, 3.2459 and 6.9293 Å, with angles of 90.00, 90.00 and 90.00 degrees. The distinct sites, in fractional coordinates, are Gd at (0.0000, 0.0000, 0.0000), Ga at (0.5000, 0.5000, 0.3035) and Rh at (0.0000, 0.0000, 0.5000).

Its final energy is -7.471 eV per atom. The calculation puts the energy relative to the elements at -2.4 eV per formula unit. The theoretical density is 9.09 Mg/m³.

***

[7]
Computed, not measured: a geometry-optimized GdGaRh2 structure at the GGA-PBE level of DFT.

The space group is I4/mmm (No. 139) and the conventional cell measures 4.6033, 4.6033 and 6.4853 Å, with angles of 90.00, 90.00 and 90.00 degrees. The distinct sites, in fractional coordinates, are Gd at (0.0000, 0.0000, 0.0000), Ga at (0.0000, 0.0000, 0.5000) and Rh at (0.0000, 0.5000, 0.2500).

Its final energy is -8.710 eV per atom. The calculation puts the energy relative to the elements at -3.0 eV per formula unit. The theoretical density is 10.46 Mg/m³.

***

[8]
Computed, not measured: a geometry-optimized GdGa2Rh structure at the GGA-PBE level of DFT.

The space group is R-3m (No. 166, hexagonal axes) and the conventional cell measures 4.2272, 4.2272 and 15.1715 Å, with angles of 90.00, 90.00 and 120.00 degrees. The distinct sites, in fractional coordinates, are Gd at (0.0000, 0.0000, 0.0000), Ga at (0.0000, 0.0000, 0.2157) and Rh at (0.0000, 0.0000, 0.5000).

Its final energy is -7.569 eV per atom. The calculation puts the energy relative to the elements at -2.8 eV per formula unit. The theoretical density is 8.48 Mg/m³.

***

Repeat the second record exactly.
Computed, not measured: a geometry-optimized TbGdPuGa structure at the GGA-PBE level of DFT.

The space group is F-43m (No. 216) and the conventional cell measures 7.4893, 7.4893 and 7.4893 Å, with angles of 90.00, 90.00 and 90.00 degrees. The distinct sites, in fractional coordinates, are Tb at (0.0000, 0.0000, 0.0000), Gd at (0.0000, 0.0000, 0.5000), Pu at (0.2500, 0.2500, 0.7500) and Ga at (0.2500, 0.2500, 0.2500).

Its final energy is -9.055 eV per atom. The calculation puts the energy relative to the elements at -0.1 eV per formula unit. The theoretical density is 9.96 Mg/m³.